4
Lattice="5.1721 -0.0027 -0.0057 2.3365 4.6142 0.0057 -3.2884 -3.0643 2.5587" Properties=species:S:1:pos:R:3 comment="TcMo2Os | Alexandria | PBE-GGA | optimized geometry" e_above_lowest_polymorph_kj_per_mol_fu=28 n_ef_per_ev_fu=3.74 total_energy_ev_per_atom=-10.637 formation_energy_ev_per_atom=0.1777 pbc="T T T"
Mo 7.4610 4.5823 0.0000
Mo 2.8948 -0.3341 1.2765
Tc 1.3080 1.8706 1.2822
Os 3.8192 2.3456 0.0000

***

15
Lattice="-2.3350 8.7921 -1.0834 -7.9551 3.0726 3.3471 -0.2937 5.5284 6.7644" Properties=species:S:1:pos:R:3 comment="Tb6Pm8Sm | Alexandria | PBE-GGA | optimized geometry" e_above_lowest_polymorph_kj_per_mol_fu=0 n_ef_per_ev_fu=22.11 total_energy_ev_per_atom=-4.578 formation_energy_ev_per_atom=0.1226 pbc="T T T"
Sm 0.0000 0.0000 0.0000
Pm -4.5637 9.0619 5.9095
Pm -6.0201 8.3312 3.1186
Pm -4.2445 11.7785 3.7985
Pm -6.3393 5.6147 5.2295
Pm -2.6957 8.9881 2.4448
Pm -7.8881 8.4051 6.5832
Pm -7.5856 11.1132 4.4403
Pm -2.9981 6.2799 4.5877
Tb -4.8845 4.4543 2.3405
Tb -8.3772 15.1142 7.5155
Tb -2.0808 5.6925 0.5532
Tb -5.6993 12.9389 6.6875
Tb -2.2066 2.2790 1.5126
Tb -8.5030 11.7007 8.4749

***

4
Lattice="3.1373 0.0000 0.0000 0.0000 4.4448 0.0000 0.0000 0.0000 4.4448" Properties=species:S:1:pos:R:3 comment="VW3 | Alexandria | PBE-GGA | optimized geometry" n_ef_per_ev_fu=1.37 total_energy_ev_per_atom=-12.075 formation_energy_ev_per_atom=-0.0803 pbc="T T T"
W 1.5687 0.0000 1.8519
W 1.5687 2.2224 4.0743
W 0.0000 2.2224 1.8519
V 0.0000 0.0000 4.0741

***

4
Lattice="0.0000 2.9236 2.9236 2.9236 0.0000 2.9236 2.9236 2.9236 0.0000" Properties=species:S:1:pos:R:3 comment="SrVN2 | Alexandria | PBE-GGA | optimized geometry" raw_formation_energy_ev_per_atom=0.43 n_ef_per_ev_fu=3.23 total_energy_ev_per_atom=-6.431 pbc="T T T"
V 0.0000 0.0000 0.0000
N 1.4618 1.4618 1.4618
N 4.3855 4.3855 4.3855
Sr 2.9236 2.9236 2.9236

***

5
Lattice="-5.0450 -0.4163 -0.7529 0.4920 -5.0702 -0.4934 -0.7057 -0.5588 5.0380" Properties=species:S:1:pos:R:3 comment="ZrSc3Cu | Alexandria | PBE-GGA | optimized geometry" e_above_lowest_polymorph_kj_per_mol_fu=321 n_ef_per_ev_fu=4.19 total_energy_ev_per_atom=-5.365 formation_energy_ev_per_atom=0.9631 pbc="T T T"
Sc -0.3529 -0.2794 2.5190
Sc 0.2460 -2.5351 -0.2467
Sc -2.5225 -0.2082 -0.3764
Zr 0.0000 0.0000 0.0000
Cu -2.6293 -3.0226 1.8959

***

8
Lattice="-2.0789 3.1611 2.8978 -0.4461 -3.3623 3.3478 8.7301 2.6853 7.2523" Properties=species:S:1:pos:R:3 comment="K2NaRh | Alexandria | PBE-GGA | optimized geometry" e_above_lowest_polymorph_kj_per_mol_fu=51 n_ef_per_ev_fu=1.28 total_energy_ev_per_atom=-2.021 formation_energy_ev_per_atom=0.6949 pbc="T T T"
K 4.3296 1.7724 10.9693
K 1.6844 -1.0966 4.2112
K 0.7870 2.2883 4.0991
K 5.6094 2.0040 7.7161
Na -1.2625 -0.1006 3.1228
Na 3.5108 -0.3888 6.8614
Rh 2.6944 2.8729 6.6365
Rh 0.0000 0.0000 0.0000

***

6
Lattice="-2.9415 -1.4142 4.4195 -5.1776 -1.7408 -0.5883 -1.2434 -5.2754 0.8993" Properties=species:S:1:pos:R:3 comment="MnCd4Rh | Alexandria | PBE-GGA | optimized geometry" n_ef_per_ev_fu=1.81 total_energy_ev_per_atom=-3.059 formation_energy_ev_per_atom=0.3046 pbc="T T T"
Rh 0.0000 0.0000 0.0000
Cd -4.1317 -5.8019 2.2233
Cd -4.9822 -3.8679 3.9865
Cd -3.5089 -3.1596 1.7729
Cd -6.1022 -4.0315 1.4782
Mn -7.0219 -6.3228 3.5478

***

18
Lattice="6.6330 0.0000 2.4078 0.0000 7.0348 0.0000 -0.1719 0.0000 10.8139" Properties=species:S:1:pos:R:3 comment="Pr2Y5Ni2 | Alexandria | PBE-GGA | optimized geometry" n_ef_per_ev_fu=12.28 total_energy_ev_per_atom=-6.077 formation_energy_ev_per_atom=-0.1389 pbc="T T T"
Y 6.0296 2.2968 10.7498
Y 1.7448 4.7380 9.1944
Y 3.3165 3.5174 1.2039
Y 0.4315 4.7380 2.4719
Y 0.0000 0.0000 0.0000
Y 3.7481 5.8142 3.6758
Y 2.7131 1.2206 9.5459
Y 1.3998 1.2206 2.8234
Y 5.0614 5.8142 10.3983
Y 4.7163 2.2968 4.0273
Ni 4.1089 0.8396 1.4915
Ni 0.7924 2.6778 0.2876
Ni 2.5241 6.1952 0.9162
Ni 5.8407 4.3570 2.1201
Pr 1.4387 0.0000 6.3771
Pr 1.7060 3.5174 5.6407
Pr 5.0225 0.0000 6.8446
Pr 4.7552 3.5174 7.5810

***

6
Lattice="-1.3158 -3.0031 2.1122 0.4682 -0.5081 -4.0317 9.2738 -3.0367 1.4597" Properties=species:S:1:pos:R:3 comment="MgNiI | Alexandria | PBE-GGA | optimized geometry" raw_formation_energy_ev_per_atom=0.02 n_ef_per_ev_fu=1.54 total_energy_ev_per_atom=-2.952 pbc="T T T"
Mg 4.4821 -3.1583 -1.6984
Mg -0.1795 -1.9016 -2.8156
Ni 2.7785 -3.5689 0.2575
Ni 5.0070 -4.2986 0.6083
I 7.3061 -3.0777 0.1756
I 1.8422 -1.2885 -0.6844

***

10
Lattice="7.1263 -0.0055 0.0060 -0.0055 7.1272 0.0058 3.5652 3.5657 5.0302" Properties=species:S:1:pos:R:3 comment="Ba2Zn6AgAu | Alexandria | PBE-GGA | optimized geometry" n_ef_per_ev_fu=5.17 total_energy_ev_per_atom=-1.892 formation_energy_ev_per_atom=-0.1305 pbc="T T T"
Zn 7.1247 7.1256 2.5231
Zn 1.7773 5.3454 0.0059
Zn 3.5613 3.5618 2.5189
Zn 8.9087 5.3420 5.0361
Zn 1.7792 1.7799 0.0033
Zn 8.9068 8.9075 5.0387
Au 3.5604 3.5609 0.0059
Ba 3.5602 7.1267 2.5217
Ba 7.1258 3.5607 2.5203
Ag 0.0000 0.0000 0.0000

***

4
Lattice="1.4391 3.4309 -0.0826 -1.4391 3.4309 -0.0826 0.0000 3.2474 7.1394" Properties=species:S:1:pos:R:3 comment="HgPOs2 | Alexandria | PBE-GGA | optimized geometry" e_above_lowest_polymorph_kj_per_mol_fu=8 n_ef_per_ev_fu=1.55 total_energy_ev_per_atom=-6.731 formation_energy_ev_per_atom=0.3122 pbc="T T T"
Os 0.0000 1.4917 1.1409
Os 0.0000 8.6174 5.8333
Hg 0.0000 5.0545 3.4871
P 0.0000 3.4309 -0.0826

***

5
Lattice="-0.4438 -4.0376 3.2944 -3.1255 -2.4393 -3.4108 4.1697 -2.2582 -2.2059" Properties=species:S:1:pos:R:3 comment="Mg3TlP | Alexandria | PBE-GGA | optimized geometry" e_above_lowest_polymorph_kj_per_mol_fu=342 n_ef_per_ev_fu=4.38 total_energy_ev_per_atom=-1.907 formation_energy_ev_per_atom=0.6051 pbc="T T T"
Tl 0.0000 0.0000 0.0000
Mg -0.2219 -2.0188 1.6472
Mg 2.0849 -1.1291 -1.1030
Mg -1.5627 -1.2197 -1.7054
P 0.3002 -4.3676 -1.1612